GdAlZnNi: optimized geometry, GGA-PBE.

Values from the calculation:
Uncorrected energy: -34.61 eV/cell
V: 70.6 Å³/f.u.

Structure (POSCAR):
```
GdAlZnNi
1.0
-2.3453 -2.4570 4.0161
0.6423 -4.6865 2.3000
4.7153 2.8799 4.4674
Al Gd Ni Zn
2 2 2 2
Direct
0.8481 0.8481 0.4425 Al
0.1519 0.1519 0.5575 Al
0.5627 0.5627 0.2426 Gd
0.4373 0.4373 0.7574 Gd
0.2803 0.2803 0.2602 Ni
0.7197 0.7197 0.7398 Ni
0.8469 0.8469 0.0547 Zn
0.1531 0.1531 0.9453 Zn
```